Material: CaMg2Cu
Method: DFT, PBE-GGA
State: optimized geometry

Lattice parameters (Å, degrees): 4.175 4.175 10.838 90.00 90.00 90.00
Atoms (fractional coordinates):
Ca: 0.250 0.250 0.245
Ca: 0.750 0.750 0.755
Mg: 0.250 0.250 0.926
Mg: 0.250 0.750 0.500
Mg: 0.750 0.250 0.500
Mg: 0.750 0.750 0.074
Cu: 0.250 0.250 0.667
Cu: 0.750 0.750 0.333

Output
* crystal system: tetragonal
* space group: P4/nmm, No. 129
* formation energy from the elements: -0.08 eV per atom
* E: -19.23 eV per cell

---

Material: Ca8Mg4Cu
Method: DFT, PBE-GGA
State: optimized geometry

Lattice parameters (Å, degrees): 8.936 8.936 8.936 97.66 97.66 137.17
Atoms (fractional coordinates):
Ca: 0.000 0.210 0.210
Ca: 0.000 0.790 0.790
Ca: 0.161 0.500 0.661
Ca: 0.210 0.000 0.210
Ca: 0.500 0.161 0.661
Ca: 0.500 0.839 0.339
Ca: 0.790 0.000 0.790
Ca: 0.839 0.500 0.339
Mg: 0.000 0.000 0.500
Mg: 0.000 0.500 0.000
Mg: 0.500 0.000 0.000
Mg: 0.500 0.500 0.500
Cu: 0.500 0.500 0.000

Output
* crystal system: tetragonal
* space group: I4/mmm, No. 139
* formation energy from the elements: 0.17 eV per atom
* E: -24.34 eV per cell

---

Material: Ca2MgCu2
Method: DFT, PBE-GGA
State: optimized geometry

Lattice parameters (Å, degrees): 5.926 5.926 7.986 102.04 102.04 59.09
Atoms (fractional coordinates):
Ca: 0.006 0.289 0.147
Ca: 0.289 0.006 0.647
Ca: 0.711 0.994 0.353
Ca: 0.994 0.711 0.853
Mg: 0.369 0.631 0.250
Mg: 0.631 0.369 0.750
Cu: 0.206 0.505 0.498
Cu: 0.495 0.794 0.002
Cu: 0.505 0.206 0.998
Cu: 0.794 0.495 0.502

Output
* crystal system: monoclinic
* space group: C2/c, No. 15
* formation energy from the elements: -0.14 eV per atom
* E: -29.02 eV per cell

---

Material: CaMg2Cu2
Method: DFT, PBE-GGA
State: optimized geometry

Lattice parameters (Å, degrees): 4.520 4.520 10.394 90.00 90.00 90.00
Atoms (fractional coordinates):
Ca: 0.250 0.250 0.235
Ca: 0.750 0.750 0.765
Mg: 0.250 0.250 0.880
Mg: 0.250 0.750 0.500
Mg: 0.750 0.250 0.500
Mg: 0.750 0.750 0.120
Cu: 0.250 0.250 0.635
Cu: 0.250 0.750 0.000
Cu: 0.750 0.250 0.000
Cu: 0.750 0.750 0.365

Output
* crystal system: tetragonal
* space group: P4/nmm, No. 129
* formation energy from the elements: -0.04 eV per atom
* E above lowest polymorph: 0.067 eV/atom
* E: -27.20 eV per cell

---

Material: CaMg2Cu2
Method: DFT, PBE-GGA
State: optimized geometry

Lattice parameters (Å, degrees): 8.410 4.941 5.208 90.00 112.91 90.00
Atoms (fractional coordinates):
Ca: 0.000 0.000 0.000
Ca: 0.500 0.500 0.000
Mg: 0.245 0.500 0.319
Mg: 0.255 0.000 0.681
Mg: 0.745 0.000 0.319
Mg: 0.755 0.500 0.681
Cu: 0.108 0.500 0.734
Cu: 0.392 0.000 0.266
Cu: 0.608 0.000 0.734
Cu: 0.892 0.500 0.266

Output
* crystal system: monoclinic
* space group: C2/m, No. 12
* formation energy from the elements: -0.06 eV per atom
* E above lowest polymorph: 0.048 eV/atom
* E: -27.39 eV per cell

---

Material: Ca2MgCu
Method: DFT, PBE-GGA
State: optimized geometry

Lattice parameters (Å, degrees): 3.400 25.882 5.134 90.00 90.00 90.00
Atoms (fractional coordinates):
Ca: 0.000 0.048 0.250
Ca: 0.000 0.147 0.750
Ca: 0.000 0.853 0.250
Ca: 0.000 0.952 0.750
Ca: 0.500 0.353 0.250
Ca: 0.500 0.452 0.750
Ca: 0.500 0.548 0.250
Ca: 0.500 0.647 0.750
Mg: 0.000 0.233 0.250
Mg: 0.000 0.767 0.750
Mg: 0.500 0.267 0.750
Mg: 0.500 0.733 0.250
Cu: 0.000 0.450 0.250
Cu: 0.000 0.550 0.750
Cu: 0.500 0.050 0.750
Cu: 0.500 0.950 0.250

Output
* crystal system: orthorhombic
* space group: Cmcm, No. 63
* formation energy from the elements: 0.04 eV per atom
* E: -38.09 eV per cell

---

Material: Ca3Mg2Cu7
Method: DFT, PBE-GGA
State: optimized geometry

Lattice parameters (Å, degrees): 8.857 8.857 8.857 36.32 36.32 36.32
Atoms (fractional coordinates):
Ca: 0.000 0.000 0.000
Ca: 0.141 0.141 0.141
Ca: 0.859 0.859 0.859
Mg: 0.332 0.332 0.332
Mg: 0.668 0.668 0.668
Cu: 0.092 0.583 0.583
Cu: 0.417 0.417 0.908
Cu: 0.417 0.908 0.417
Cu: 0.500 0.500 0.500
Cu: 0.583 0.092 0.583
Cu: 0.583 0.583 0.092
Cu: 0.908 0.417 0.417

Output
* crystal system: trigonal
* space group: R-3m, No. 166
* formation energy from the elements: -0.10 eV per atom
* E: -39.02 eV per cell

---

Material: Ca2MgCu2
Method: DFT, PBE-GGA
State: optimized geometry

Lattice parameters (Å, degrees): 4.418 4.418 7.768 90.00 90.00 120.00
Atoms (fractional coordinates):
Ca: 0.333 0.667 0.197
Ca: 0.667 0.333 0.803
Mg: 0.000 0.000 0.500
Cu: 0.333 0.667 0.571
Cu: 0.667 0.333 0.429

Output
* crystal system: trigonal
* space group: P-3m1, No. 164
* formation energy from the elements: -0.07 eV per atom
* E: -14.16 eV per cell

---

Material: Ca2Mg3Cu
Method: DFT, PBE-GGA
State: optimized geometry

Lattice parameters (Å, degrees): 6.092 6.092 9.375 90.00 90.00 120.00
Atoms (fractional coordinates):
Ca: 0.333 0.667 0.058
Ca: 0.333 0.667 0.442
Ca: 0.667 0.333 0.558
Ca: 0.667 0.333 0.942
Mg: 0.162 0.324 0.750
Mg: 0.162 0.838 0.750
Mg: 0.324 0.162 0.250
Mg: 0.676 0.838 0.750
Mg: 0.838 0.162 0.250
Mg: 0.838 0.676 0.250
Cu: 0.000 0.000 0.000
Cu: 0.000 0.000 0.500

Output
* crystal system: hexagonal
* space group: P6_3/mmc, No. 194
* formation energy from the elements: -0.09 eV per atom
* E above lowest polymorph: 0.000 eV/atom
* E: -26.86 eV per cell

---

Material: CaMgCu
Method: DFT, PBE-GGA
State: optimized geometry

Lattice parameters (Å, degrees): 7.009 7.009 7.009 90.00 90.00 90.00
Atoms (fractional coordinates):
Ca: 0.000 0.000 0.000
Ca: 0.000 0.500 0.500
Ca: 0.500 0.000 0.500
Ca: 0.500 0.500 0.000
Mg: 0.250 0.250 0.750
Mg: 0.250 0.750 0.250
Mg: 0.750 0.250 0.250
Mg: 0.750 0.750 0.750
Cu: 0.250 0.250 0.250
Cu: 0.250 0.750 0.750
Cu: 0.750 0.250 0.750
Cu: 0.750 0.750 0.250

Output
* crystal system: cubic
* space group: F-43m, No. 216
* formation energy from the elements: 0.49 eV per atom
* E: -24.83 eV per cell

---

Material: CaMgCu
Method: DFT, PBE-GGA
State: optimized geometry

Lattice parameters (Å, degrees): 5.797 7.979 6.021 90.00 90.00 90.00
Atoms (fractional coordinates):
Ca: 0.147 0.100 0.250
Ca: 0.147 0.400 0.750
Ca: 0.853 0.600 0.250
Ca: 0.853 0.900 0.750
Mg: 0.373 0.750 0.000
Mg: 0.373 0.750 0.500
Mg: 0.627 0.250 0.000
Mg: 0.627 0.250 0.500
Cu: 0.350 0.038 0.750
Cu: 0.350 0.462 0.250
Cu: 0.650 0.538 0.750
Cu: 0.650 0.962 0.250

Output
* crystal system: orthorhombic
* space group: Pbcm, No. 57
* formation energy from the elements: -0.13 eV per atom
* E: -32.31 eV per cell

---

Material: Ca2MgCu
Method: DFT, PBE-GGA
State: optimized geometry

Lattice parameters (Å, degrees): 8.484 8.484 6.560 90.00 90.00 90.00
Atoms (fractional coordinates):
Ca: 0.192 0.250 0.125
Ca: 0.250 0.692 0.375
Ca: 0.250 0.808 0.875
Ca: 0.308 0.250 0.625
Ca: 0.692 0.750 0.625
Ca: 0.750 0.192 0.875
Ca: 0.750 0.308 0.375
Ca: 0.808 0.750 0.125
Mg: 0.000 0.000 0.500
Mg: 0.000 0.500 0.750
Mg: 0.500 0.000 0.250
Mg: 0.500 0.500 0.000
Cu: 0.000 0.000 0.000
Cu: 0.000 0.500 0.250
Cu: 0.500 0.000 0.750
Cu: 0.500 0.500 0.500

Output
* crystal system: tetragonal
* space group: I-42d, No. 122
* formation energy from the elements: 0.17 eV per atom
* E: -36.03 eV per cell

---

Material: CaMgCu
Method: DFT, PBE-GGA
State: optimized geometry

Lattice parameters (Å, degrees): 3.966 3.984 18.724 90.00 90.00 90.00
Atoms (fractional coordinates):
Ca: 0.000 0.000 0.099
Ca: 0.000 0.000 0.901
Ca: 0.500 0.500 0.401
Ca: 0.500 0.500 0.599
Mg: 0.000 0.000 0.292
Mg: 0.000 0.000 0.708
Mg: 0.500 0.500 0.208
Mg: 0.500 0.500 0.792
Cu: 0.000 0.000 0.438
Cu: 0.000 0.000 0.562
Cu: 0.500 0.500 0.062
Cu: 0.500 0.500 0.938

Output
* crystal system: orthorhombic
* space group: Immm, No. 71
* formation energy from the elements: 0.01 eV per atom
* E: -30.63 eV per cell

---

Material: Ca4MgCu2
Method: DFT, PBE-GGA
State: optimized geometry

Lattice parameters (Å, degrees): 10.600 10.600 4.520 90.00 90.00 90.00
Atoms (fractional coordinates):
Ca: 0.000 0.255 0.000
Ca: 0.000 0.745 0.000
Ca: 0.245 0.500 0.500
Ca: 0.255 0.000 0.000
Ca: 0.500 0.245 0.500
Ca: 0.500 0.755 0.500
Ca: 0.745 0.000 0.000
Ca: 0.755 0.500 0.500
Mg: 0.000 0.000 0.500
Mg: 0.500 0.500 0.000
Cu: 0.000 0.500 0.250
Cu: 0.000 0.500 0.750
Cu: 0.500 0.000 0.250
Cu: 0.500 0.000 0.750

Output
* crystal system: tetragonal
* space group: I4/mmm, No. 139
* formation energy from the elements: 0.16 eV per atom
* E above lowest polymorph: 0.162 eV/atom
* E: -33.36 eV per cell

---

Material: CaMg2Cu2
Method: DFT, PBE-GGA
State: optimized geometry

Lattice parameters (Å, degrees): 4.821 4.065 10.934 90.00 96.18 90.00
Atoms (fractional coordinates):
Ca: 0.190 0.000 0.243
Ca: 0.810 0.500 0.757
Mg: 0.247 0.499 0.494
Mg: 0.351 0.999 0.895
Mg: 0.649 0.499 0.105
Mg: 0.753 0.999 0.506
Cu: 0.132 0.499 0.018
Cu: 0.291 0.998 0.650
Cu: 0.709 0.498 0.350
Cu: 0.868 0.999 0.982

Output
* crystal system: monoclinic
* space group: P2_1, No. 4
* formation energy from the elements: -0.07 eV per atom
* E above lowest polymorph: 0.037 eV/atom
* E: -27.51 eV per cell

---

Material: Ca2MgCu
Method: DFT, PBE-GGA
State: optimized geometry

Lattice parameters (Å, degrees): 4.583 4.583 10.239 90.00 90.00 90.00
Atoms (fractional coordinates):
Ca: 0.000 0.000 0.000
Ca: 0.000 0.500 0.250
Ca: 0.500 0.000 0.750
Ca: 0.500 0.500 0.500
Mg: 0.000 0.000 0.500
Mg: 0.500 0.500 0.000
Cu: 0.000 0.500 0.750
Cu: 0.500 0.000 0.250

Output
* crystal system: tetragonal
* space group: I-4m2, No. 119
* formation energy from the elements: 0.10 eV per atom
* E: -18.59 eV per cell

---

Material: Ca2MgCu
Method: DFT, PBE-GGA
State: optimized geometry

Lattice parameters (Å, degrees): 4.538 4.538 11.307 90.00 90.00 90.00
Atoms (fractional coordinates):
Ca: 0.250 0.250 0.092
Ca: 0.250 0.750 0.500
Ca: 0.750 0.250 0.500
Ca: 0.750 0.750 0.908
Mg: 0.250 0.250 0.744
Mg: 0.750 0.750 0.256
Cu: 0.250 0.250 0.337
Cu: 0.750 0.750 0.663

Output
* crystal system: tetragonal
* space group: P4/nmm, No. 129
* formation energy from the elements: 0.09 eV per atom
* E: -18.63 eV per cell

---

Material: Ca4MgCu2
Method: DFT, PBE-GGA
State: optimized geometry

Lattice parameters (Å, degrees): 5.385 5.385 15.546 90.00 90.00 120.05
Atoms (fractional coordinates):
Ca: 0.000 0.000 0.000
Ca: 0.000 0.000 0.500
Ca: 0.333 0.667 0.624
Ca: 0.333 0.667 0.876
Ca: 0.334 0.666 0.250
Ca: 0.666 0.334 0.750
Ca: 0.667 0.333 0.124
Ca: 0.667 0.333 0.376
Mg: 0.001 0.999 0.250
Mg: 0.999 0.001 0.750
Cu: 0.335 0.665 0.063
Cu: 0.335 0.665 0.437
Cu: 0.665 0.335 0.563
Cu: 0.665 0.335 0.937

Output
* crystal system: orthorhombic
* space group: Cmcm, No. 63
* formation energy from the elements: 0.00 eV per atom
* E above lowest polymorph: 0.002 eV/atom
* E: -35.61 eV per cell

---

Material: CaMgCu
Method: DFT, PBE-GGA
State: optimized geometry

Lattice parameters (Å, degrees): 4.622 4.622 6.979 90.00 90.00 90.00
Atoms (fractional coordinates):
Ca: 0.250 0.250 0.192
Ca: 0.750 0.750 0.808
Mg: 0.250 0.250 0.686
Mg: 0.750 0.750 0.314
Cu: 0.250 0.750 0.500
Cu: 0.750 0.250 0.500

Output
* crystal system: tetragonal
* space group: P4/nmm, No. 129
* formation energy from the elements: -0.05 eV per atom
* E: -15.69 eV per cell

---

Material: CaMg2Cu2
Method: DFT, PBE-GGA
State: optimized geometry

Lattice parameters (Å, degrees): 7.644 7.644 3.408 90.00 90.00 90.00
Atoms (fractional coordinates):
Ca: 0.000 0.000 0.000
Ca: 0.500 0.500 0.000
Mg: 0.158 0.342 0.500
Mg: 0.342 0.842 0.500
Mg: 0.658 0.158 0.500
Mg: 0.842 0.658 0.500
Cu: 0.125 0.625 0.000
Cu: 0.375 0.125 0.000
Cu: 0.625 0.875 0.000
Cu: 0.875 0.375 0.000

Output
* crystal system: tetragonal
* space group: P4/mbm, No. 127
* formation energy from the elements: -0.04 eV per atom
* E above lowest polymorph: 0.076 eV/atom
* E: -27.12 eV per cell